[1]
Below is Co2W8C3N3 after structural relaxation, with properties calculated at the PBE-GGA level.

Cell and atoms, written as POSCAR:
```
Co2W8C3N3
1.0
2.894 0.000 0.000
-1.447 2.506 0.000
0.000 0.000 25.078
Co W C N
2 8 3 3
direct
0.333 0.667 0.246
0.667 0.333 0.754
0.000 0.000 0.163
0.000 0.000 0.327
0.000 0.000 0.673
0.000 0.000 0.837
0.333 0.667 0.055
0.333 0.667 0.441
0.667 0.333 0.559
0.667 0.333 0.945
0.000 0.000 0.000
0.333 0.667 0.889
0.667 0.333 0.111
0.000 0.000 0.500
0.333 0.667 0.617
0.667 0.333 0.383
```

For the total magnetization, the calculation gives 1.356 μB per cell. As for the symmetry: P-3m1.

---

[2]
Below is Y3Co2C2N3 after structural relaxation, with properties calculated at the PBE-GGA level.

Cell and atoms, written as POSCAR:
```
Y3Co2C2N3
1.0
-1.726 1.726 9.717
1.726 -1.726 9.717
1.726 1.726 -9.717
Y Co C N
3 2 2 3
direct
0.000 0.000 0.000
0.373 0.373 0.000
0.627 0.627 0.000
0.250 0.750 0.500
0.750 0.250 0.500
0.194 0.194 0.000
0.806 0.806 0.000
0.121 0.121 0.000
0.500 0.500 0.000
0.879 0.879 0.000
```

For the total magnetization, the calculation gives 0.002 μB per cell. As for the symmetry: I4/mmm.

---

| no. | total DFT energy (no corrections) (eV per atom) |
| --- | --- |
| 1 | -10.38 |
| 2 | -8.62 |